Sb2WSeI | Alexandria via LeMat-Bulk | PBEsol | relaxed; E_form (uncorrected) = 1.679 eV per atom
1.0
5.303 0.000 0.000
0.000 5.303 0.000
0.000 0.000 5.258
Sb W Se I
2 1 1 1
direct
0.000 0.500 0.000 Sb
0.500 0.000 0.000 Sb
0.000 0.000 0.500 W
0.500 0.500 0.000 Se
0.500 0.500 0.500 I